VASP calculation (GGA-PBE) on TcTeW after structural relaxation.

The structure in POSCAR format:
```
TcTeW
1.0
3.1129 0.0000 0.0000
-1.5565 2.6959 0.0000
0.0000 0.0000 6.5050
Tc Te W
1 1 1
Direct
0.0000 0.0000 0.0000
0.6667 0.3333 0.3557
0.3333 0.6667 0.7131
```

Calculated values
Calculated total energy ... -24.9 eV per cell
Excess energy over the best structure of this formula in the dataset ... 0.1119 eV per atom
Raw formation energy ... 0.516 eV/atom
Symmetry ... P3m1 (156)
DOS at the Fermi energy ... 3.4 states/eV per cell

---

VASP calculation (GGA-PBE) on TcTeW after structural relaxation.

The structure in POSCAR format:
```
TcTeW
1.0
-1.5541 2.1091 3.9993
1.5541 -2.1091 3.9993
1.5541 2.1091 -3.9993
Tc Te W
1 1 1
Direct
0.0000 0.0000 0.0000
0.6699 0.6699 0.0000
0.3372 0.3372 0.0000
```

Calculated values
Calculated total energy ... -24.6 eV per cell
Excess energy over the best structure of this formula in the dataset ... 0.2156 eV per atom
Raw formation energy ... 0.620 eV/atom
Symmetry ... Imm2 (44)
DOS at the Fermi energy ... 2.6 states/eV per cell